! Ru7Au | Alexandria | PBE-GGA | relaxed; values from VASP
! E_tot ... -8.2437 eV per atom
! Energy relative to the elements ... 2.3 eV per formula unit
&SYSTEM
  ibrav = 0, nat = 8, ntyp = 2
/
ATOMIC_SPECIES
Ru 101.07 Ru.upf
Au 196.97 Au.upf
CELL_PARAMETERS angstrom
0.000 3.857 3.857
3.857 0.000 3.857
3.857 3.857 0.000
ATOMIC_POSITIONS angstrom
Ru 0.000 0.000 0.000
Ru 1.929 1.929 0.000
Ru 1.929 0.000 1.929
Ru 3.857 1.929 1.929
Ru 0.000 1.929 1.929
Ru 1.929 3.857 1.929
Ru 1.929 1.929 3.857
Au 3.857 3.857 3.857


! Pa2ZnOsN5 | Alexandria | PBE-GGA | relaxed; values from VASP
! E_tot ... -8.8814 eV per atom
! Formation energy from raw total energies ... -0.7567 eV/atom
&SYSTEM
  ibrav = 0, nat = 18, ntyp = 4
/
ATOMIC_SPECIES
Pa 231.04 Pa.upf
Zn 65.41 Zn.upf
Os 190.23 Os.upf
N 14.01 N.upf
CELL_PARAMETERS angstrom
1.703 -7.177 0.000
1.703 7.177 0.000
0.000 0.000 9.126
ATOMIC_POSITIONS angstrom
Pa 1.703 5.358 4.563
Pa 1.703 5.294 0.175
Pa 1.703 -5.294 4.738
Pa 1.703 -5.358 0.000
Zn 1.703 0.207 2.372
Zn 1.703 -0.207 6.935
Os 1.703 3.776 6.887
Os 1.703 -3.776 2.324
N 1.703 5.904 6.968
N 1.703 3.249 3.585
N 1.703 3.159 1.075
N 1.703 1.774 6.332
N 1.703 0.318 9.062
N 1.703 -0.318 4.499
N 1.703 -1.774 1.769
N 1.703 -3.159 5.638
N 1.703 -3.249 8.148
N 1.703 -5.904 2.405


! CsTl8Pb4 | Alexandria | PBE-GGA | relaxed; values from VASP
! E_tot ... -2.6804 eV per atom
! Energy relative to the elements ... -0.2 eV per formula unit
&SYSTEM
  ibrav = 0, nat = 13, ntyp = 3
/
ATOMIC_SPECIES
Cs 132.91 Cs.upf
Tl 204.38 Tl.upf
Pb 207.20 Pb.upf
CELL_PARAMETERS angstrom
-5.753 5.753 3.348
5.753 -5.753 3.348
5.753 5.753 -3.348
ATOMIC_POSITIONS angstrom
Cs 0.000 0.000 0.000
Tl 4.103 0.000 0.000
Tl 7.403 0.000 0.000
Tl 5.753 3.261 0.000
Tl 0.000 4.103 0.000
Tl 3.261 5.753 0.000
Tl 2.492 0.000 3.348
Tl 0.000 7.403 0.000
Tl 0.000 2.492 3.348
Pb 2.877 2.877 -1.674
Pb 2.877 -2.877 1.674
Pb -2.877 2.877 1.674
Pb 2.877 2.877 1.674


! SmTmNb | Alexandria | PBE-GGA | relaxed; values from VASP
! E_tot ... -6.1800 eV per atom
! Energy relative to the elements ... 0.7 eV per formula unit
&SYSTEM
  ibrav = 0, nat = 6, ntyp = 3
/
ATOMIC_SPECIES
Sm 150.36 Sm.upf
Tm 168.93 Tm.upf
Nb 92.91 Nb.upf
CELL_PARAMETERS angstrom
6.302 -2.480 0.000
6.302 2.480 0.000
-0.095 0.000 5.238
ATOMIC_POSITIONS angstrom
Sm 1.302 0.000 1.158
Sm 11.205 0.000 4.080
Tm 4.927 0.000 1.186
Tm 7.581 0.000 4.052
Nb 3.093 0.000 3.496
Nb 9.415 0.000 1.742